--- 1 ---
BaIrSe2 | PBE-GGA | relaxed

Results
The density of states at the Fermi level comes out at 2.7 states/eV per cell.

a b c (Å): 6.1056 6.1056 7.5487
angles (deg): 90.00 90.00 141.71
Last column: nearest neighbours and their distance in Å.
Fractional positions:
Ir 0.5000 0.5000 0.7500  4 Se 2.47
Se 0.0000 0.0000 0.5580  2 Ir 2.47
Se 0.0000 0.0000 0.9420  2 Ir 2.47
Ba 0.5000 0.5000 0.2500  4 Se 3.07



--- 2 ---
BaIrSe2 | PBE-GGA | relaxed

Results
The density of states at the Fermi level comes out at 5.8 states/eV per cell.

a b c (Å): 5.1378 5.1378 5.1378
angles (deg): 60.00 60.00 60.00
Last column: nearest neighbours and their distance in Å.
Fractional positions:
Ir 0.7500 0.7500 0.7500  4 Ba 3.15, 4 Se 3.15
Se 0.2500 0.2500 0.2500  4 Se 3.15, 4 Ba 3.15
Se 0.0000 0.0000 0.0000  4 Ir 3.15, 4 Se 3.15
Ba 0.5000 0.5000 0.5000  4 Se 3.15, 4 Ir 3.15



Which of them is least stable? Easy: 2.



--- 1 ---
BaIrSe | PBE-GGA | relaxed

Results
The density of states at the Fermi level comes out at 4.6 states/eV per cell.

a b c (Å): 6.5811 4.7168 8.8236
angles (deg): 90.00 90.00 134.24
Last column: nearest neighbours and their distance in Å.
Fractional positions:
Se 0.2411 0.4821 0.7500  2 Ir 2.33
Se 0.2411 0.4821 0.2500  2 Ir 2.33
Ba 0.7392 0.4784 0.2501  4 Se 3.29-3.39, 2 Ir 3.42
Ba 0.7392 0.4784 0.7499  4 Se 3.29-3.39, 2 Ir 3.42
Ir 0.3529 0.7058 0.5000  2 Se 2.33
Ir 0.3531 0.7062 0.0000  2 Se 2.33



--- 2 ---
BaIrSe | PBE-GGA | relaxed

Results
The density of states at the Fermi level comes out at 5.7 states/eV per cell.

a b c (Å): 4.8713 4.8713 4.8713
angles (deg): 60.00 60.00 60.00
Last column: nearest neighbours and their distance in Å.
Fractional positions:
Ir 0.7500 0.7500 0.7500  4 Se 2.98, 4 Ba 2.98
Se 0.0000 0.0000 0.0000  4 Ir 2.98
Ba 0.5000 0.5000 0.5000  4 Ir 2.98



--- 3 ---
BaIrSe | PBE-GGA | relaxed

a b c (Å): 4.5653 6.2731 6.3854
angles (deg): 66.01 77.37 69.02
Last column: nearest neighbours and their distance in Å.
Fractional positions:
Ir 0.9510 0.1303 0.8536  2 Se 2.41-2.42
Ir 0.2468 0.7511 0.2408  2 Se 2.39-2.60
Ba 0.5716 0.1286 0.3586  5 Se 3.21-3.45, 4 Ir 3.30-3.58
Ba 0.1925 0.5810 0.8146  5 Ir 3.29-3.58, 5 Se 3.34-3.61
Se 0.8387 0.5140 0.4492  3 Ir 2.60-2.89
Se 0.5077 0.9842 0.9070  3 Ir 2.39-2.42



Which of them is least stable? Easy: 2.



--- 1 ---
BaY2IrSe | PBE-GGA | relaxed

Results
The density of states at the Fermi level comes out at 6.3 states/eV per cell.

a b c (Å): 5.7649 4.9381 5.7649
angles (deg): 90.00 90.00 90.00
Last column: nearest neighbours and their distance in Å.
Fractional positions:
Ir 0.0000 0.5000 0.0000  2 Ba 2.47
Se 0.5000 0.5000 0.5000  8 Y 3.80, 4 Ir 4.08
Y 0.5000 0.0000 0.0000  2 Ba 2.88
Y 0.0000 0.0000 0.5000  2 Ba 2.88
Ba 0.0000 0.0000 0.0000  2 Ir 2.47



--- 2 ---
BaY2IrSe | PBE-GGA | relaxed

Results
The density of states at the Fermi level comes out at 4.0 states/eV per cell.

a b c (Å): 5.2297 6.2193 5.2297
angles (deg): 90.00 90.00 90.00
Last column: nearest neighbours and their distance in Å.
Fractional positions:
Y 0.0000 0.0000 0.5000  2 Ir 2.61
Y 0.5000 0.0000 0.0000  2 Ir 2.61
Se 0.0000 0.5000 0.0000  2 Ir 3.11
Ir 0.0000 0.0000 0.0000  4 Y 2.61
Ba 0.5000 0.5000 0.5000  4 Se 3.70, 8 Y 4.06



Which of them is least stable? Easy: 1.



--- 1 ---
BaSiIr3 | PBE-GGA | relaxed

Results
The density of states at the Fermi level comes out at 4.4 states/eV per cell.

a b c (Å): 4.6449 4.6449 4.6449
angles (deg): 90.00 90.00 90.00
Last column: nearest neighbours and their distance in Å.
Fractional positions:
Si 0.0000 0.0000 0.0000  6 Ir 2.32
Ir 0.0000 0.0000 0.5000  2 Si 2.32
Ir 0.5000 0.0000 0.0000  2 Si 2.32
Ir 0.0000 0.5000 0.0000  2 Si 2.32
Ba 0.5000 0.5000 0.5000  12 Ir 3.28



--- 2 ---
BaSiIr3 | PBE-GGA | relaxed

Results
The density of states at the Fermi level comes out at 4.6 states/eV per cell.

a b c (Å): 5.1087 5.1087 5.1087
angles (deg): 90.00 90.00 90.00
Last column: nearest neighbours and their distance in Å.
Fractional positions:
Ir 0.0000 0.5000 0.0000  2 Ba 2.55
Ir 0.0000 0.0000 0.5000  2 Ba 2.55
Ir 0.5000 0.0000 0.0000  2 Ba 2.55
Ba 0.0000 0.0000 0.0000  6 Ir 2.55
Si 0.5000 0.5000 0.5000  12 Ir 3.61



Which of them is least stable? Easy: 2.



--- 1 ---
BaSm2Ir | PBE-GGA | relaxed

Results
The density of states at the Fermi level comes out at 4.6 states/eV per cell.

a b c (Å): 4.1422 4.1422 11.2085
angles (deg): 79.35 79.35 60.00
Last column: nearest neighbours and their distance in Å.
Fractional positions:
Ba 0.0000 0.0000 0.0000  2 Sm 4.01, 6 Ba 4.14
Ir 0.5000 0.5000 0.5000  6 Sm 2.81
Sm 0.8781 0.8781 0.3658  3 Ir 2.81
Sm 0.1219 0.1219 0.6342  3 Ir 2.81



--- 2 ---
BaSm2Ir | PBE-GGA | relaxed

Results
The density of states at the Fermi level comes out at 3.7 states/eV per cell.

a b c (Å): 4.2534 4.2534 9.9451
angles (deg): 77.65 77.65 60.00
Last column: nearest neighbours and their distance in Å.
Fractional positions:
Ba 0.5012 0.5012 0.4964  6 Sm 4.17-4.25, 6 Ba 4.25
Sm 0.2845 0.2845 0.1465  3 Ir 2.83
Sm 0.0480 0.0480 0.8560  3 Ir 2.83
Ir 0.6663 0.6663 0.0011  6 Sm 2.83



Which of them is least stable? Easy: 1.



--- 1 ---
BaSrIr2 | PBE-GGA | relaxed

Results
The density of states at the Fermi level comes out at 5.6 states/eV per cell.

a b c (Å): 3.6191 3.6191 9.1159
angles (deg): 90.00 90.00 90.00
Last column: nearest neighbours and their distance in Å.
Fractional positions:
Ba 0.5000 0.5000 0.8334  1 Ir 2.99
Sr 0.0000 0.0000 0.4093  1 Ir 2.86
Ir 0.5000 0.5000 0.1618  4 Ir 2.63
Ir 0.0000 0.0000 0.0955  4 Ir 2.63, 1 Sr 2.86



--- 2 ---
BaSrIr2 | PBE-GGA | relaxed

Results
The density of states at the Fermi level comes out at 2.5 states/eV per cell.

a b c (Å): 6.0008 6.0008 7.5790
angles (deg): 53.74 53.74 43.90
Last column: nearest neighbours and their distance in Å.
Fractional positions:
Ba 0.2500 0.2500 0.2500  6 Ir 3.26-3.48
Ir 0.5028 0.5028 0.6928  2 Ir 2.39
Ir 0.9972 0.9972 0.8072  2 Ir 2.39
Sr 0.7500 0.7500 0.7500  6 Ir 3.05-3.40



Which of them is least stable? Easy: 1.



--- 1 ---
BaSrIr2 | PBE-GGA | relaxed

Results
The density of states at the Fermi level comes out at 1.0 states/eV per cell.

a b c (Å): 9.4389 9.4389 9.4389
angles (deg): 21.85 21.85 21.85
Last column: nearest neighbours and their distance in Å.
Fractional positions:
Ir 0.9981 0.9981 0.9981  3 Sr 3.05, 3 Ba 3.13
Ir 0.5019 0.5019 0.5019  3 Sr 3.05, 3 Ba 3.13
Sr 0.2500 0.2500 0.2500  6 Ir 3.05
Ba 0.7500 0.7500 0.7500  6 Ir 3.13



--- 2 ---
BaSrIr2 | PBE-GGA | relaxed

Results
The density of states at the Fermi level comes out at 3.5 states/eV per cell.

a b c (Å): 5.4492 5.4492 5.4492
angles (deg): 127.69 127.66 77.15
Last column: nearest neighbours and their distance in Å.
Fractional positions:
Sr 0.7500 0.2500 0.5000  8 Ir 3.21, 4 Ba 3.40
Ir 0.0000 0.0000 0.0000  4 Sr 3.21, 4 Ba 3.21, 4 Ir 3.40
Ir 0.5000 0.5000 0.0000  4 Sr 3.21, 4 Ba 3.21, 4 Ir 3.40
Ba 0.2500 0.7500 0.5000  8 Ir 3.21, 4 Sr 3.40



--- 3 ---
BaSrIr2 | PBE-GGA | relaxed

Results
The density of states at the Fermi level comes out at 3.9 states/eV per cell.

a b c (Å): 3.4000 4.3716 6.8910
angles (deg): 90.00 90.00 90.00
Last column: nearest neighbours and their distance in Å.
Fractional positions:
Ir 0.0000 0.0000 0.4466  1 Ir 2.71
Ir 0.0000 0.0000 0.0534  1 Ir 2.71
Ba 0.5000 0.5000 0.7500  2 Ba 3.40, 2 Sr 3.45, 8 Ir 3.47
Sr 0.5000 0.5000 0.2500  8 Ir 3.08, 2 Sr 3.40, 2 Ba 3.45



Which of them is least stable? Easy: 1.



--- 1 ---
BaSrIr2 | PBE-GGA | relaxed

Results
The density of states at the Fermi level comes out at 7.3 states/eV per cell.

a b c (Å): 8.3412 8.3412 6.5968
angles (deg): 50.79 50.79 90.00
Last column: nearest neighbours and their distance in Å.
Fractional positions:
Ba 0.0000 0.0000 0.0000  2 Sr 2.95, 4 Ir 3.08
Ba 0.7500 0.2500 0.5000  2 Sr 2.95, 4 Ir 3.08
Ir 0.1313 0.6250 0.2500  2 Ir 2.96, 2 Sr 3.00, 2 Ba 3.08
Ir 0.3750 0.3813 0.7500  2 Ir 2.96, 2 Sr 3.00, 2 Ba 3.08
Ir 0.6187 0.1250 0.2500  2 Ir 2.96, 2 Sr 3.00, 2 Ba 3.08
Ir 0.8750 0.8687 0.7500  2 Ir 2.96, 2 Sr 3.00, 2 Ba 3.08
Sr 0.5000 0.5000 0.0000  2 Ba 2.95, 4 Ir 3.00
Sr 0.2500 0.7500 0.5000  2 Ba 2.95, 4 Ir 3.00



--- 2 ---
BaSrIr2 | PBE-GGA | relaxed

Results
The density of states at the Fermi level comes out at 3.6 states/eV per cell.

a b c (Å): 5.2353 5.2353 5.2353
angles (deg): 60.00 60.00 60.00
Last column: nearest neighbours and their distance in Å.
Fractional positions:
Ir 0.2500 0.2500 0.2500  4 Ba 3.21, 4 Sr 3.21
Ir 0.7500 0.7500 0.7500  4 Sr 3.21, 4 Ba 3.21
Ba 0.5000 0.5000 0.5000  8 Ir 3.21
Sr 0.0000 0.0000 0.0000  8 Ir 3.21



Which of them is least stable? Easy: 1.



--- 1 ---
Ba3SrIr | PBE-GGA | relaxed

Results
The density of states at the Fermi level comes out at 4.7 states/eV per cell.

a b c (Å): 6.2781 6.2781 6.2781
angles (deg): 90.00 90.00 90.00
Last column: nearest neighbours and their distance in Å.
Fractional positions:
Ba 0.0000 0.5000 0.0000  2 Ir 3.14
Ba 0.5000 0.0000 0.0000  2 Ir 3.14
Ba 0.0000 0.0000 0.5000  2 Ir 3.14
Ir 0.0000 0.0000 0.0000  6 Ba 3.14
Sr 0.5000 0.5000 0.5000  12 Ba 4.44



--- 2 ---
Ba3SrIr | PBE-GGA | relaxed

Results
The density of states at the Fermi level comes out at 6.2 states/eV per cell.

a b c (Å): 6.2848 6.2848 6.2848
angles (deg): 90.00 90.00 90.00
Last column: nearest neighbours and their distance in Å.
Fractional positions:
Ir 0.5000 0.5000 0.5000  12 Ba 4.44
Ba 0.5000 0.0000 0.0000  2 Sr 3.14
Ba 0.0000 0.5000 0.0000  2 Sr 3.14
Ba 0.0000 0.0000 0.5000  2 Sr 3.14
Sr 0.0000 0.0000 0.0000  6 Ba 3.14



--- 3 ---
Ba3SrIr | PBE-GGA | relaxed

Results
The density of states at the Fermi level comes out at 8.6 states/eV per cell.

a b c (Å): 7.8523 7.8993 9.9055
angles (deg): 75.36 75.55 111.61
Last column: nearest neighbours and their distance in Å.
Fractional positions:
Ba 0.5707 0.3390 0.3498  2 Ir 3.08-3.15
Ba 0.0272 0.8516 0.3588  2 Ir 3.09-3.14
Ba 0.6815 0.9497 0.1283  2 Ir 3.08-3.15
Ba 0.1470 0.4713 0.1193  2 Ir 3.09-3.14
Ba 0.9197 0.2165 0.6095  1 Ir 2.96
Ba 0.2902 0.0869 0.8685  1 Ir 2.96
Sr 0.8066 0.6037 0.8707  1 Ir 2.92
Sr 0.4382 0.7353 0.6074  1 Ir 2.92
Ir 0.7914 0.0882 0.3805  1 Sr 2.92, 5 Ba 2.96-3.15
Ir 0.9330 0.7297 0.0975  1 Sr 2.92, 5 Ba 2.96-3.15



Which of them is least stable? Easy: 2.



--- 1 ---
BaSr2Ir2 | PBE-GGA | relaxed

Results
The density of states at the Fermi level comes out at 4.2 states/eV per cell.

a b c (Å): 4.9072 4.9072 7.2182
angles (deg): 70.13 70.13 90.00
Last column: nearest neighbours and their distance in Å.
Fractional positions:
Ir 0.4013 0.4013 0.1975  1 Ir 2.50
Ir 0.5987 0.5987 0.8025  1 Ir 2.50
Sr 0.7500 0.2500 0.5000  4 Ir 3.11, 4 Sr 3.47
Sr 0.2500 0.7500 0.5000  4 Ir 3.11, 4 Sr 3.47
Ba 0.0000 0.0000 0.0000  8 Ir 3.69, 8 Sr 4.00



--- 2 ---
BaSr2Ir2 | PBE-GGA | relaxed

Results
The density of states at the Fermi level comes out at 3.3 states/eV per cell.

a b c (Å): 8.7491 8.7491 3.6398
angles (deg): 90.00 90.00 90.00
Last column: nearest neighbours and their distance in Å.
Fractional positions:
Sr 0.1340 0.6340 0.5000  6 Ir 3.08-3.20, 1 Sr 3.32
Sr 0.6340 0.8660 0.5000  6 Ir 3.08-3.20, 1 Sr 3.32
Sr 0.3660 0.1340 0.5000  6 Ir 3.08-3.20, 1 Sr 3.32
Sr 0.8660 0.3660 0.5000  6 Ir 3.08-3.20, 1 Sr 3.32
Ir 0.6651 0.1651 0.0000  6 Sr 3.08-3.20, 2 Ba 3.27
Ir 0.1651 0.3349 0.0000  6 Sr 3.08-3.20, 2 Ba 3.27
Ir 0.3349 0.8349 0.0000  6 Sr 3.08-3.20, 2 Ba 3.27
Ir 0.8349 0.6651 0.0000  6 Sr 3.08-3.20, 2 Ba 3.27
Ba 0.0000 0.0000 0.0000  4 Ir 3.27, 2 Ba 3.64
Ba 0.5000 0.5000 0.0000  4 Ir 3.27, 2 Ba 3.64



Which of them is least stable? Easy: 2.



--- 1 ---
BaSrZn2Ir | PBE-GGA | relaxed

Results
The density of states at the Fermi level comes out at 8.0 states/eV per cell.

a b c (Å): 5.5072 7.3181 5.5072
angles (deg): 90.00 90.00 90.00
Last column: nearest neighbours and their distance in Å.
Fractional positions:
Zn 0.0000 0.0000 0.5000  2 Sr 2.75
Zn 0.5000 0.0000 0.0000  2 Sr 2.75
Ba 0.0000 0.5000 0.0000  2 Sr 3.66, 4 Ir 3.89
Sr 0.0000 0.0000 0.0000  4 Zn 2.75
Ir 0.5000 0.5000 0.5000  4 Ba 3.89



--- 2 ---
BaSrZn2Ir | PBE-GGA | relaxed

Results
The density of states at the Fermi level comes out at 3.5 states/eV per cell.

a b c (Å): 5.1133 5.1133 5.4783
angles (deg): 90.00 90.00 90.00
Last column: nearest neighbours and their distance in Å.
Fractional positions:
Zn 0.0000 0.5000 0.0000  2 Ir 2.56
Zn 0.5000 0.0000 0.0000  2 Ir 2.56
Ir 0.0000 0.0000 0.0000  4 Zn 2.56, 2 Sr 2.74
Sr 0.0000 0.0000 0.5000  2 Ir 2.74
Ba 0.5000 0.5000 0.5000  4 Sr 3.62, 8 Zn 3.75



Which of them is least stable? Easy: 1.



--- 1 ---
BaTa3Ir | PBE-GGA | relaxed

Results
The density of states at the Fermi level comes out at 3.0 states/eV per cell.

a b c (Å): 5.0293 5.0293 5.0293
angles (deg): 90.00 90.00 90.00
Last column: nearest neighbours and their distance in Å.
Fractional positions:
Ta 0.0000 0.5000 0.0000  2 Ir 2.51
Ta 0.5000 0.0000 0.0000  2 Ir 2.51
Ta 0.0000 0.0000 0.5000  2 Ir 2.51
Ir 0.0000 0.0000 0.0000  6 Ta 2.51
Ba 0.5000 0.5000 0.5000  12 Ta 3.56



--- 2 ---
BaTa3Ir | PBE-GGA | relaxed

Results
The density of states at the Fermi level comes out at 6.9 states/eV per cell.

a b c (Å): 4.9460 4.9460 4.9460
angles (deg): 90.00 90.00 90.00
Last column: nearest neighbours and their distance in Å.
Fractional positions:
Ta 0.0000 0.5000 0.0000  2 Ba 2.47
Ta 0.5000 0.0000 0.0000  2 Ba 2.47
Ta 0.0000 0.0000 0.5000  2 Ba 2.47
Ba 0.0000 0.0000 0.0000  6 Ta 2.47
Ir 0.5000 0.5000 0.5000  12 Ta 3.50



Which of them is least stable? Easy: 2.